Crystalline Pm3Al2Ni4 at its relaxed geometry. Source: Alexandria, functional PBE-GGA.

a b c (Å): 10.096 4.153 8.290
angles (deg): 90.00 98.57 90.00
Space group C2/m (No. 12)
Inequivalent atoms, fractional coordinates:
Pm: 0.000 0.000 0.000 [2 per cell]
Pm: 0.124 0.500 0.380 [4 per cell]
Al: 0.178 0.500 0.787 [4 per cell]
Ni: 0.085 0.000 0.637 [4 per cell]
Ni: 0.236 0.500 0.086 [4 per cell]

Calculated formation energy   -0.50 eV/atom
Calculated density   6.99 g/cm³
DOS(E_F)   6.86 states/eV/f.u.

=====

Crystalline Pm2AlNi3 at its relaxed geometry. Source: Alexandria, functional PBE-GGA.

a b c (Å): 5.4186 5.4186 8.1259
angles (deg): 90.00 90.00 120.00
Space group P6_3/mmc (No. 194)
Inequivalent atoms, fractional coordinates:
Pm: 0.3333 0.6667 0.0577 [4 per cell]
Al: 0.0000 0.0000 0.0000 [2 per cell]
Ni: 0.1661 0.3321 0.7500 [6 per cell]

Calculated formation energy   -0.42 eV/atom
Energy above the lowest structure with this stoichiometry   0.000 eV/atom
Calculated density   7.93 g/cm³
DOS(E_F)   4.84 states/eV/f.u.

=====

Crystalline PmAl6Ni at its relaxed geometry. Source: Alexandria, functional PBE-GGA.

a b c (Å): 6.2749 6.2749 13.8850
angles (deg): 90.00 90.00 120.00
Space group R-3m (No. 166, hexagonal axes)
Inequivalent atoms, fractional coordinates:
Pm: 0.0000 0.0000 0.0000 [3 per cell]
Al: 0.0508 0.5254 0.9054 [18 per cell]
Ni: 0.0000 0.0000 0.5000 [3 per cell]

Calculated formation energy   -0.16 eV/atom
Calculated density   3.85 g/cm³
DOS(E_F)   4.36 states/eV/f.u.

=====

Crystalline Pm12AlNi7 at its relaxed geometry. Source: Alexandria, functional PBE-GGA.

a b c (Å): 14.4430 14.4430 8.5880
angles (deg): 90.00 90.00 120.00
Space group R-3 (No. 148, hexagonal axes)
Inequivalent atoms, fractional coordinates:
Pm: 0.0178 0.4362 0.3201 [18 per cell]
Pm: 0.0414 0.1675 0.2806 [18 per cell]
Al: 0.0000 0.0000 0.0000 [3 per cell]
Ni: 0.0000 0.0000 0.5000 [3 per cell]
Ni: 0.0453 0.1822 0.9273 [18 per cell]

Calculated formation energy   -0.22 eV/atom
Calculated density   6.99 g/cm³
DOS(E_F)   22.84 states/eV/f.u.

=====

Question: Among the records above, which one has the highest calculated density?
Answer: Pm2AlNi3

=====

Question: What is the DOS(E_F) in the fourth record?
Answer: 22.84 states/eV/f.u.